# 1
VASP calculation (PBE-GGA) on crystalline Fe2AuBr at its relaxed geometry.

Unit cell a=5.4122 b=5.4122 c=5.4122 alpha=138.78 beta=138.78 gamma=59.71
With the nearest neighbours (Å) after each atom.
Atoms (fractional coordinates):
Fe: 0.0000 0.0000 0.0000  4 Br 2.69
Fe: 0.7500 0.2500 0.5000  4 Au 2.69
Au: 0.2500 0.7500 0.5000  4 Fe 2.69
Br: 0.5000 0.5000 0.0000  4 Fe 2.69

**Crystal system**: tetragonal
**Formation energy from raw total energies**: 269 kJ/mol of formula units

# 2
VASP calculation (PBE-GGA) on crystalline BaTeP at its relaxed geometry.

Unit cell a=5.4672 b=5.4672 c=5.4672 alpha=60.00 beta=60.00 gamma=60.00
With the nearest neighbours (Å) after each atom.
Atoms (fractional coordinates):
Ba: 0.0000 0.0000 0.0000  4 P 3.35, 4 Te 3.35
Te: 0.2500 0.2500 0.2500  4 Ba 3.35
P: 0.7500 0.7500 0.7500  4 Ba 3.35

**Crystal system**: cubic
**Energy relative to the lowest polymorph listed for this composition**: 564.7 meV per atom
**Formation energy from raw total energies**: -31 kJ/mol of formula units

# 3
VASP calculation (PBE-GGA) on crystalline Mg2TlBi at its relaxed geometry.

Unit cell a=5.0745 b=6.4846 c=6.7899 alpha=106.07 beta=90.01 gamma=90.03
With the nearest neighbours (Å) after each atom.
Atoms (fractional coordinates):
Mg: 0.0000 0.0000 0.0000  4 Tl 3.10-3.29, 3 Bi 3.13-3.18, 2 Mg 3.41-3.43
Mg: 0.0003 0.1662 0.5332  4 Bi 3.13-3.37, 3 Tl 3.18-3.42, 1 Mg 3.48
Mg: 0.4978 0.4742 0.2967  4 Bi 3.13-3.37, 3 Tl 3.18-3.41, 1 Mg 3.48
Mg: 0.4981 0.6412 0.8296  4 Tl 3.11-3.30, 3 Bi 3.13-3.18, 3 Mg 3.41-3.48
Tl: 0.4997 0.1432 0.8097  7 Mg 3.10-3.41, 2 Tl 3.45-3.47
Tl: 0.9980 0.4987 0.0213  7 Mg 3.11-3.42, 2 Tl 3.45-3.47
Bi: 0.4997 0.9840 0.2667  7 Mg 3.13-3.37
Bi: 0.9978 0.6565 0.5637  7 Mg 3.13-3.37

**Crystal system**: triclinic
**Energy relative to the lowest polymorph listed for this composition**: 12.1 meV per atom

no.,calculated density (kg/m³),magnetization (μB/cell)
1,9467,6.2
2,4252,0.0
3,7146,0.0